Below is an optimized crystal structure of Rb2CdSn4Pb3, with properties calculated at the GGA-PBE level.

For the energy, the calculation gives -3.10 eV/atom.

The structure belongs to space group P-4m2 (No. 115); the cell edges are 5.201, 5.201 and 13.260 Å and the angles 90.00°, 90.00° and 90.00°. The distinct sites, in fractional coordinates, are Rb at (0.000, 0.500, 0.245), Cd at (0.500, 0.500, 0.000), Sn at (0.000, 0.000, 0.500), Sn at (0.000, 0.500, 0.875), Sn at (0.500, 0.500, 0.500), Pb at (0.000, 0.000, 0.000) and Pb at (0.000, 0.500, 0.634).

***

Below is an optimized crystal structure of Rb2Cd3Sn4Pb, with properties calculated at the GGA-PBE level.

For the energy, the calculation gives -2.58 eV/atom.

The structure belongs to space group P-4m2 (No. 115); the cell edges are 5.060, 5.060 and 12.613 Å and the angles 90.00°, 90.00° and 90.00°. The distinct sites, in fractional coordinates, are Rb at (0.000, 0.500, 0.248), Cd at (0.000, 0.500, 0.867), Cd at (0.500, 0.500, 0.500), Sn at (0.000, 0.000, 0.000), Sn at (0.000, 0.500, 0.637), Sn at (0.500, 0.500, 0.000) and Pb at (0.000, 0.000, 0.500).

***

Below is an optimized crystal structure of RbCd2SnPb4, with properties calculated at the GGA-PBE level.

For the energy, the calculation gives -2.69 eV/atom.

The structure belongs to space group R-3m (No. 166, hexagonal axes); the cell edges are 5.3281, 5.3281 and 32.5493 Å and the angles 90.00°, 90.00° and 120.00°. The distinct sites, in fractional coordinates, are Rb at (0.0000, 0.0000, 0.0000), Cd at (0.0000, 0.0000, 0.2622), Sn at (0.0000, 0.0000, 0.5000), Pb at (0.0000, 0.0000, 0.1325) and Pb at (0.0000, 0.0000, 0.4041).

***

Number 1: calculated density 6.4 g/cm³, ΔE_f -0.100 eV/atom. Number 2: calculated density 6.1 g/cm³, ΔE_f -0.135 eV/atom. Number 3: calculated density 7.8 g/cm³, ΔE_f 0.013 eV/atom.